# 1
# AgRh4

A PBEsol-optimized structure of AgRh4 (meta-GGA SCAN, Alexandria).

Output
DFT total energy = -33.131 eV/atom
Magnetization = 0.00 μB per cell
ΔE_f = 77.1 kJ/mol of formula units

Structure (CIF):
```
data_AgRh4
_space_group_name_H-M_alt 'C 1 2/m 1'
_space_group_IT_number 12
_cell_length_a 8.979
_cell_length_b 2.703
_cell_length_c 6.646
_cell_angle_alpha 90.00
_cell_angle_beta 119.67
_cell_angle_gamma 90.00
loop_
_space_group_symop_operation_xyz
'x,y,z'
'-x,-y,-z'
'-x,y,-z'
'x,-y,z'
'x+1/2,y+1/2,z'
'-x+1/2,-y+1/2,-z'
'-x+1/2,y+1/2,-z'
'x+1/2,-y+1/2,z'
loop_
_atom_site_label
_atom_site_type_symbol
_atom_site_fract_x
_atom_site_fract_y
_atom_site_fract_z
Ag1 Ag 0.000 0.000 0.000
Rh1 Rh 0.106 0.500 0.415
Rh2 Rh 0.195 0.000 0.797
```

=====

# 2
# MnCdTe2

A PBEsol-optimized structure of MnCdTe2 (meta-GGA SCAN, Alexandria).

Output
DFT total energy = -30.542 eV/atom
Magnetization = 18.29 μB per cell
ΔE_f (raw) = 0.251 eV per atom

Structure (CIF):
```
data_MnCdTe2
_space_group_name_H-M_alt 'F -4 3 m'
_space_group_IT_number 216
_space_group_name_Hall 'F -4 2 3'
_cell_length_a 7.243
_cell_length_b 7.243
_cell_length_c 7.243
_cell_angle_alpha 90.00
_cell_angle_beta 90.00
_cell_angle_gamma 90.00
loop_
_atom_site_label
_atom_site_type_symbol
_atom_site_fract_x
_atom_site_fract_y
_atom_site_fract_z
Mn1 Mn 0.000 0.000 0.000
Cd1 Cd 0.250 0.250 0.750
Te1 Te 0.000 0.000 0.500
Te2 Te 0.250 0.250 0.250
```

=====

# 3
# NiAsIN2

A PBEsol-optimized structure of NiAsIN2 (meta-GGA SCAN, Alexandria).

Output
DFT total energy = -16.992 eV/atom
Magnetization = 1.76 μB per cell
ΔE_f (raw) = 1.345 eV per atom

Structure (CIF):
```
data_NiAsIN2
_space_group_name_H-M_alt 'P 4/m m m'
_space_group_IT_number 123
_space_group_name_Hall '-P 4 2'
_cell_length_a 3.624
_cell_length_b 3.624
_cell_length_c 6.746
_cell_angle_alpha 90.00
_cell_angle_beta 90.00
_cell_angle_gamma 90.00
loop_
_atom_site_label
_atom_site_type_symbol
_atom_site_fract_x
_atom_site_fract_y
_atom_site_fract_z
Ni1 Ni 0.000 0.000 0.000
As1 As 0.500 0.500 0.500
I1 I 0.500 0.500 0.000
N1 N 0.000 0.500 0.500
```

=====

# 4
# Cs3HgB

A PBEsol-optimized structure of Cs3HgB (meta-GGA SCAN, Alexandria).

Output
DFT total energy = -37.103 eV/atom
Magnetization = 0.00 μB per cell
ΔE_f = 338.9 kJ/mol of formula units

Structure (CIF):
```
data_Cs3HgB
_space_group_name_H-M_alt 'P m -3 m'
_space_group_IT_number 221
_space_group_name_Hall '-P 4 2 3'
_cell_length_a 6.370
_cell_length_b 6.370
_cell_length_c 6.370
_cell_angle_alpha 90.00
_cell_angle_beta 90.00
_cell_angle_gamma 90.00
loop_
_atom_site_label
_atom_site_type_symbol
_atom_site_fract_x
_atom_site_fract_y
_atom_site_fract_z
Cs1 Cs 0.000 0.000 0.500
Hg1 Hg 0.500 0.500 0.500
B1 B 0.000 0.000 0.000
```